An optimized crystal structure of Sr2NpTaN5, computed with PBE.

abc: 6.9864 6.9864 12.3093
angles: 90.00 90.00 152.09
Last column: nearest neighbours and their distance in Å.
Fractional coordinates of all 18 atoms:
1 Sr 0.0817 0.9183 0.5000  4 N 2.49-2.59
2 Sr 0.1617 0.8383 0.1302  5 N 2.52-2.81
3 Sr 0.8383 0.1617 0.6302  5 N 2.52-2.81
4 Sr 0.9183 0.0817 0.0000  4 N 2.49-2.59
5 Np 0.4655 0.5345 0.2740  4 N 1.95-2.16
6 Np 0.5345 0.4655 0.7740  4 N 1.95-2.16
7 Ta 0.2315 0.7685 0.8670  4 N 2.01-2.22
8 Ta 0.7685 0.2315 0.3670  4 N 2.01-2.22
9 N 0.0683 0.9317 0.8765  2 Np 2.16, 1 Ta 2.22
10 N 0.2629 0.7371 0.4678  2 Ta 2.09
11 N 0.3128 0.6872 0.2497  1 Np 2.09, 2 Ta 2.30
12 N 0.3742 0.6258 0.8231  1 Ta 2.01
13 N 0.4902 0.5098 0.6236  1 Np 1.95
14 N 0.5098 0.4902 0.1236  1 Np 1.95
15 N 0.6258 0.3742 0.3231  1 Ta 2.01
16 N 0.6872 0.3128 0.7497  1 Np 2.09, 2 Ta 2.30
17 N 0.7371 0.2629 0.9678  2 Ta 2.09
18 N 0.9317 0.0683 0.3765  2 Np 2.16, 1 Ta 2.22

## Properties
D(E_F): 0.417 states/eV per atom
Symmetry: Cmc2_1 (36)
Formation energy (no corrections): -909.4 meV per atom
V: 141 Å³/f.u.